First-principles (PBE) data for a relaxed structure of Lu3Co, as listed in OQMD.

## Properties
Total magnetic moment: 0.0 μB per cell
Final energy: -0.3652 Ry/atom
Symmetry: Pm-3m, No. 221

a = 4.486 Å, b = 4.486 Å, c = 4.486 Å
α = 90.00°, β = 90.00°, γ = 90.00°
Sites, in units of the cell vectors:
Lu1 0.000 0.500 0.500
Lu2 0.500 0.000 0.500
Co1 0.000 0.000 0.000
Lu3 0.500 0.500 0.000

***

First-principles (PBE) data for a relaxed structure of Y3ZnCd3Ag2, as listed in OQMD.

## Properties
Total magnetic moment: 0.0 μB per cell
Final energy: -0.2635 Ry/atom
Symmetry: P-62m, No. 189

a = 7.671 Å, b = 7.671 Å, c = 4.018 Å
α = 90.00°, β = 90.00°, γ = 120.00°
Sites, in units of the cell vectors:
Ag1 0.667 0.333 0.500
Y1 0.000 0.408 0.000
Cd1 0.250 0.250 0.500
Y2 0.408 0.000 0.000
Zn1 0.000 0.000 0.000
Ag2 0.333 0.667 0.500
Y3 0.592 0.592 0.000
Cd2 0.750 0.000 0.500
Cd3 0.000 0.750 0.500

***

First-principles (PBE) data for a relaxed structure of TbHgNO, as listed in OQMD.

## Properties
Total magnetic moment: 0.0 μB per cell
Energy above the lowest structure with this stoichiometry: 61.1 meV per atom
Symmetry: Pmc2_1, No. 26

a = 4.011 Å, b = 5.668 Å, c = 6.110 Å
α = 90.00°, β = 90.00°, γ = 90.00°
Sites, in units of the cell vectors:
O1 0.500 0.909 0.827
O2 0.500 0.409 0.173
N1 0.000 0.392 0.659
Tb1 0.000 0.487 0.298
Tb2 0.000 0.987 0.702
Hg1 0.500 0.466 0.771
N2 0.000 0.892 0.341
Hg2 0.500 0.966 0.229

***

First-principles (PBE) data for a relaxed structure of Li2TlHg, as listed in OQMD.

## Properties
Final energy: -0.1314 Ry/atom
Symmetry: P6_3/mmc, No. 194

a = 4.975 Å, b = 4.975 Å, c = 8.365 Å
α = 90.00°, β = 90.00°, γ = 120.00°
Sites, in units of the cell vectors:
Li1 0.667 0.333 0.584
Hg1 0.333 0.667 0.750
Li2 0.333 0.667 0.084
Tl1 0.000 0.000 0.250
Hg2 0.667 0.333 0.250
Tl2 0.000 0.000 0.750
Li3 0.667 0.333 0.916
Li4 0.333 0.667 0.416

***

First-principles (PBE) data for a relaxed structure of NbAlCoAg, as listed in OQMD.

## Properties
Total magnetic moment: 0.0 μB per cell
Energy above the lowest structure with this stoichiometry: 0.0 meV per atom
Symmetry: F-43m, No. 216

a = 4.413 Å, b = 4.413 Å, c = 4.413 Å
α = 60.00°, β = 60.00°, γ = 60.00°
Sites, in units of the cell vectors:
Co1 0.750 0.750 0.750
Nb1 0.500 0.500 0.500
Ag1 0.250 0.250 0.250
Al1 0.000 0.000 0.000

***

First-principles (PBE) data for a relaxed structure of NaAuNO, as listed in OQMD.

## Properties
Energy above the lowest structure with this stoichiometry: 142.2 meV per atom
Symmetry: Pmc2_1, No. 26

a = 3.515 Å, b = 5.940 Å, c = 6.185 Å
α = 90.00°, β = 90.00°, γ = 90.00°
Sites, in units of the cell vectors:
O1 0.500 0.396 0.181
Na1 0.500 0.516 0.838
N1 0.000 0.335 0.633
N2 0.000 0.835 0.367
Na2 0.500 0.016 0.162
Au1 0.000 0.507 0.356
O2 0.500 0.896 0.819
Au2 0.000 0.007 0.644

***

First-principles (PBE) data for a relaxed structure of PmEr, as listed in OQMD.

## Properties
Total magnetic moment: 0.6 μB per cell
Energy above the lowest structure with this stoichiometry: 688.3 meV per atom
Symmetry: Fm-3m, No. 225

a = 4.550 Å, b = 4.550 Å, c = 4.550 Å
α = 60.00°, β = 60.00°, γ = 60.00°
Site moments in Bohr magnetons follow the coordinates.
Sites, in units of the cell vectors:
Er1 0.000 0.000 0.000  0.27
Pm1 0.500 0.500 0.500  0.20

***

First-principles (PBE) data for a relaxed structure of SrHf3Hg2, as listed in OQMD.

## Properties
Total magnetic moment: 0.0 μB per cell
Final energy: -0.3930 Ry/atom
Symmetry: P4mm, No. 99

a = 3.349 Å, b = 3.349 Å, c = 12.999 Å
α = 90.00°, β = 90.00°, γ = 90.00°
Sites, in units of the cell vectors:
Hf1 0.000 0.000 0.629
Sr1 0.500 0.500 0.843
Hg1 0.500 0.500 0.483
Hf2 0.000 0.000 0.332
Hf3 0.500 0.500 0.182
Hg2 0.000 0.000 0.031

***

Q: What is the formula in the second record?
A: Y3ZnCd3Ag2